Entry 1:
## LiAlSn (PBE)

Data for LiAlSn after structural relaxation. Values from VASP.

Properties
The density of states at the Fermi level comes out at 1.71 states/eV per cell. The calculation puts the energy of formation at -108 meV per atom.

Geometry as Quantum ESPRESSO input:
```
&SYSTEM
  ibrav = 0, nat = 6, ntyp = 3
/
ATOMIC_SPECIES
Li 6.94 Li.upf
Al 26.98 Al.upf
Sn 118.71 Sn.upf
CELL_PARAMETERS angstrom
3.192 0.000 0.000
0.000 4.580 0.000
1.596 2.135 8.867
ATOMIC_POSITIONS angstrom
Li 0.000 0.000 0.000
Li 1.590 2.314 4.068
Al 1.595 4.599 2.624
Al 3.189 4.616 4.842
Sn 1.596 2.301 1.015
Sn 3.190 2.335 6.483
```

Entry 2:
## LiAlSn (PBE)

Data for LiAlSn after structural relaxation. Values from VASP.

Properties
The density of states at the Fermi level comes out at 4.02 states/eV per cell. The calculation puts the energy of formation at -126 meV per atom.

Geometry as Quantum ESPRESSO input:
```
&SYSTEM
  ibrav = 0, nat = 12, ntyp = 3
/
ATOMIC_SPECIES
Li 6.94 Li.upf
Al 26.98 Al.upf
Sn 118.71 Sn.upf
CELL_PARAMETERS angstrom
9.838 0.000 0.000
0.000 4.330 0.000
-1.681 0.000 5.590
ATOMIC_POSITIONS angstrom
Li 1.099 0.000 1.790
Li 2.139 2.165 3.800
Li 6.018 2.165 1.790
Li 7.058 0.000 3.800
Al 0.000 2.165 0.000
Al -0.841 2.165 2.795
Al 4.919 0.000 0.000
Al 4.078 0.000 2.795
Sn 0.177 0.000 4.518
Sn 3.061 2.165 1.072
Sn 5.096 2.165 4.518
Sn 7.980 0.000 1.072
```

Entry 3:
## LiAlSn (PBE)

Data for LiAlSn after structural relaxation. Values from VASP.

Properties
The density of states at the Fermi level comes out at 1.21 states/eV per cell. The calculation puts the energy of formation at 17 meV per atom.

Geometry as Quantum ESPRESSO input:
```
&SYSTEM
  ibrav = 0, nat = 3, ntyp = 3
/
ATOMIC_SPECIES
Li 6.94 Li.upf
Al 26.98 Al.upf
Sn 118.71 Sn.upf
CELL_PARAMETERS angstrom
3.142 0.000 0.000
0.000 4.360 0.000
0.000 0.000 4.506
ATOMIC_POSITIONS angstrom
Li 0.000 0.000 0.000
Al 1.571 2.180 0.000
Sn 1.571 0.000 2.253
```